# 1
## KBaCa2 (PBE)

Data for an optimized crystal structure of KBaCa2.

VASP energy   -1.61 eV per atom
Calculated volume   52.390 Å³ per atom
SG   No. 71
ΔE_f   148 meV/atom

```
KBaCa2
1.0
-3.288 -1.983 6.967
-7.226 -3.327 -0.034
7.579 -0.503 -2.363
Ba Ca K
1 2 1
Direct
0.250 0.750 0.500
0.995 0.995 0.000
0.505 0.505 0.000
0.750 0.250 0.500
```


# 2
## YPaI6 (PBE)

Data for an optimized crystal structure of YPaI6.

Formation energy from raw total energies   -1.067 eV/atom
VASP energy   -4.22 eV per atom
Calculated volume   49.090 Å³ per atom
SG   No. 12

```
YPaI6
1.0
7.388 0.222 -1.367
-2.206 7.061 -3.747
0.253 -1.316 8.183
I Y Pa
6 1 1
Direct
0.754 0.904 0.606
0.248 0.751 0.751
0.754 0.606 0.904
0.246 0.096 0.394
0.752 0.249 0.249
0.246 0.394 0.096
0.000 0.000 0.000
0.500 0.500 0.500
```


# 3
## CaCePtRh (PBE)

Data for an optimized crystal structure of CaCePtRh.

VASP energy   -6.14 eV per atom
Calculated volume   22.410 Å³ per atom
SG   No. 38
ΔE_f   -809 meV/atom

```
CaCePtRh
1.0
3.825 0.000 0.000
0.000 4.270 0.000
-1.913 0.000 5.488
Rh Ca Pt Ce
1 1 1 1
Direct
0.589 0.500 0.178
0.859 0.500 0.717
0.416 0.000 0.831
0.137 0.000 0.274
```


# 4
## YTlPdPt (PBE)

Data for an optimized crystal structure of YTlPdPt.

VASP energy   -5.70 eV per atom
Calculated volume   20.187 Å³ per atom
SG   No. 216
ΔE_f   -687 meV/atom

```
YTlPdPt
1.0
4.852 0.000 0.000
2.426 4.202 0.000
2.426 1.401 3.961
Pd Y Pt Tl
1 1 1 1
Direct
0.250 0.250 0.250
0.500 0.500 0.500
0.750 0.750 0.750
0.000 0.000 0.000
```


Question: The lowest calculated volume belongs to which entry?
Answer: YTlPdPt


Question: The highest calculated volume belongs to which entry?
Answer: KBaCa2


Question: The highest calculated volume belongs to which entry?
Answer: KBaCa2


Question: Which formula does entry 1 have?
Answer: KBaCa2